1.
A relaxed structure of Ac2Ge2Pd3, computed with GGA-PBE.

Computed properties:
**Raw total energy**: -77.0 eV for the cell shown
**Mass density**: 9.44 Mg/m³
**ΔE_f**: -782 meV per atom
**Offset from the most stable computed form**: 0 meV per atom
**Magnetic moment**: 0.00 μB/cell

abc: 10.3121 10.3121 7.4093
angles: 90.00 90.00 155.80
Closest atoms and distances in Å follow each position.
Sites, in units of the cell vectors:
Ac  0.0531  0.9469  0.7500  9 Pd 3.16-3.50
Ac  0.1615  0.8385  0.2500  6 Ge 3.23-3.38, 6 Pd 3.25-3.31
Ac  0.8385  0.1615  0.7500  6 Ge 3.23-3.38, 6 Pd 3.25-3.31
Ac  0.9469  0.0531  0.2500  9 Pd 3.16-3.50
Ge  0.3154  0.6846  0.0686  3 Pd 2.61-2.62, 1 Ge 2.69
Ge  0.3154  0.6846  0.4314  3 Pd 2.61-2.62, 1 Ge 2.69
Ge  0.6846  0.3154  0.5686  3 Pd 2.61-2.62, 1 Ge 2.69
Ge  0.6846  0.3154  0.9314  3 Pd 2.61-2.62, 1 Ge 2.69
Pd  0.2144  0.7856  0.7500  4 Ge 2.62
Pd  0.4359  0.5641  0.5588  1 Ge 2.61, 2 Pd 2.73-2.83
Pd  0.4359  0.5641  0.9412  1 Ge 2.61, 2 Pd 2.73-2.83
Pd  0.5641  0.4359  0.0588  1 Ge 2.61, 2 Pd 2.73-2.83
Pd  0.5641  0.4359  0.4412  1 Ge 2.61, 2 Pd 2.73-2.83
Pd  0.7856  0.2144  0.2500  4 Ge 2.62

=====

2.
A relaxed structure of Ac4GePd, computed with GGA-PBE.

Computed properties:
**Raw total energy**: -28.5 eV for the cell shown
**Mass density**: 8.28 Mg/m³
**ΔE_f**: -372 meV per atom
**Magnetic moment**: 0.00 μB/cell

abc: 5.3273 5.3273 7.6799
angles: 90.10 90.10 90.00
Closest atoms and distances in Å follow each position.
Sites, in units of the cell vectors:
Ac  0.9998  0.4993  0.2468  2 Pd 3.27, 2 Ge 3.30
Ac  0.0002  0.5007  0.7532  2 Pd 3.27, 2 Ge 3.30
Ac  0.4993  0.9998  0.2468  2 Pd 3.27, 2 Ge 3.30
Ac  0.5007  0.0002  0.7532  2 Pd 3.27, 2 Ge 3.30
Ge  0.0000  0.0000  0.5000  8 Ac 3.30
Pd  0.5000  0.5000  0.0000  8 Ac 3.27

=====

3.
A relaxed structure of Ac2GePd, computed with GGA-PBE.

Computed properties:
**Raw total energy**: -42.0 eV for the cell shown
**Mass density**: 8.81 Mg/m³
**ΔE_f**: -742 meV per atom
**Offset from the most stable computed form**: 0 meV per atom
**Magnetic moment**: 0.00 μB/cell

abc: 6.3013 4.6152 8.7879
angles: 90.00 110.99 90.00
Closest atoms and distances in Å follow each position.
Sites, in units of the cell vectors:
Ac  0.2253  0.2500  0.4188  3 Pd 3.23-3.36, 4 Ge 3.30-3.33
Ac  0.2301  0.2500  0.9392  4 Pd 3.22-3.47, 3 Ge 3.30-3.33
Ac  0.7699  0.7500  0.0608  4 Pd 3.22-3.47, 3 Ge 3.30-3.33
Ac  0.7747  0.7500  0.5812  3 Pd 3.23-3.36, 4 Ge 3.30-3.33
Ge  0.3356  0.7500  0.7066  2 Pd 2.92
Ge  0.6644  0.2500  0.2934  2 Pd 2.92
Pd  0.3593  0.7500  0.2122  2 Ge 2.92, 4 Ac 3.22-3.23
Pd  0.6407  0.2500  0.7878  2 Ge 2.92, 4 Ac 3.22-3.23

=====

4.
A relaxed structure of Ac3Ge9Pd2, computed with GGA-PBE.

Computed properties:
**Raw total energy**: -70.5 eV for the cell shown
**Mass density**: 8.16 Mg/m³
**ΔE_f**: -444 meV per atom
**Magnetic moment**: 0.00 μB/cell

abc: 8.7738 8.7738 8.7738
angles: 150.80 102.15 85.21
Closest atoms and distances in Å follow each position.
Sites, in units of the cell vectors:
Ac  0.0000  0.0000  0.0000  12 Ge 3.40-3.46, 4 Pd 3.64
Ac  0.3213  0.3213  0.0000  10 Ge 3.20-3.37, 2 Pd 3.49
Ac  0.6787  0.6787  0.0000  10 Ge 3.20-3.37, 2 Pd 3.49
Ge  0.0338  0.6651  0.3687  1 Pd 2.57, 2 Ge 2.80
Ge  0.1558  0.8770  0.2788  2 Pd 2.73, 4 Ge 2.80-2.91
Ge  0.2964  0.6651  0.6313  1 Pd 2.57, 2 Ge 2.80
Ge  0.4018  0.1230  0.2788  2 Pd 2.73, 4 Ge 2.80-2.91
Ge  0.5000  0.0000  0.5000  4 Ge 2.91, 4 Ac 3.20
Ge  0.5982  0.8770  0.7212  2 Pd 2.73, 4 Ge 2.80-2.91
Ge  0.7036  0.3349  0.3687  1 Pd 2.57, 2 Ge 2.80
Ge  0.8442  0.1230  0.7212  2 Pd 2.73, 4 Ge 2.80-2.91
Ge  0.9662  0.3349  0.6313  1 Pd 2.57, 2 Ge 2.80
Pd  0.2621  0.5000  0.7621  6 Ge 2.57-2.73
Pd  0.7379  0.5000  0.2379  6 Ge 2.57-2.73

=====

5.
A relaxed structure of Ac3GePd8, computed with GGA-PBE.

Computed properties:
**Raw total energy**: -67.0 eV for the cell shown
**Mass density**: 10.42 Mg/m³
**ΔE_f**: -708 meV per atom
**Magnetic moment**: 0.00 μB/cell

abc: 9.7781 9.7781 9.7781
angles: 33.65 33.65 33.65
Closest atoms and distances in Å follow each position.
Sites, in units of the cell vectors:
Ac  0.0000  0.0000  0.0000  12 Pd 3.26-3.33
Ac  0.1354  0.1354  0.1354  6 Pd 3.07-3.28, 3 Ge 3.28
Ac  0.5983  0.5983  0.5983  6 Pd 3.00
Ge  0.4593  0.4593  0.4593  3 Pd 2.51
Pd  0.0487  0.5632  0.5632  1 Ge 2.51, 3 Pd 2.75-2.82
Pd  0.0592  0.0592  0.5677  6 Pd 2.78-2.88, 3 Ac 3.00-3.07
Pd  0.0592  0.5677  0.0592  6 Pd 2.78-2.88, 3 Ac 3.00-3.07
Pd  0.3099  0.3099  0.3099  6 Pd 2.79-2.82
Pd  0.5632  0.0487  0.5632  1 Ge 2.51, 3 Pd 2.75-2.82
Pd  0.5632  0.5632  0.0487  1 Ge 2.51, 3 Pd 2.75-2.82
Pd  0.5677  0.0592  0.0592  6 Pd 2.78-2.88, 3 Ac 3.00-3.07
Pd  0.8114  0.8114  0.8114  6 Pd 2.82-2.87

=====

6.
A relaxed structure of Ac5Ge5Pd2, computed with GGA-PBE.

Computed properties:
**Raw total energy**: -63.0 eV for the cell shown
**Mass density**: 8.44 Mg/m³
**ΔE_f**: -748 meV per atom
**Magnetic moment**: 0.00 μB/cell

abc: 8.4821 8.4821 12.1135
angles: 129.64 129.64 31.04
Closest atoms and distances in Å follow each position.
Sites, in units of the cell vectors:
Ac  0.0000  0.0000  0.0000  4 Pd 3.26, 6 Ge 3.28-3.50
Ac  0.1126  0.1126  0.4195  3 Pd 3.26, 7 Ge 3.28-3.44
Ac  0.1976  0.1976  0.8201  5 Ge 3.20-3.33, 1 Pd 3.29
Ac  0.8024  0.8024  0.1799  5 Ge 3.20-3.33, 1 Pd 3.29
Ac  0.8874  0.8874  0.5805  3 Pd 3.26, 7 Ge 3.28-3.44
Ge  0.2529  0.2529  0.3146  2 Pd 2.68
Ge  0.4416  0.4416  0.1599  1 Pd 2.66
Ge  0.5000  0.5000  0.5000  2 Ge 3.06
Ge  0.5584  0.5584  0.8401  1 Pd 2.66
Ge  0.7471  0.7471  0.6854  2 Pd 2.68
Pd  0.3574  0.3574  0.7442  3 Ge 2.66-2.68
Pd  0.6426  0.6426  0.2558  3 Ge 2.66-2.68

=====

7.
A relaxed structure of Ac3Ge3Pd, computed with GGA-PBE.

Computed properties:
**Raw total energy**: -36.8 eV for the cell shown
**Mass density**: 8.49 Mg/m³
**ΔE_f**: -781 meV per atom
**Offset from the most stable computed form**: 0 meV per atom
**Magnetic moment**: 0.01 μB/cell

abc: 10.2800 10.2800 10.2800
angles: 155.29 154.31 35.94
Closest atoms and distances in Å follow each position.
Sites, in units of the cell vectors:
Ac  0.0000  0.0000  0.0000  2 Pd 3.20, 5 Ge 3.28-3.46
Ac  0.1801  0.6801  0.5000  8 Ge 3.39-3.61, 4 Pd 3.42
Ac  0.3658  0.3658  0.0000  7 Ge 3.28-3.45
Ge  0.5421  0.5421  0.0000  2 Pd 2.62
Ge  0.7420  0.2420  0.5000  1 Pd 2.49, 2 Ge 2.71
Ge  0.8232  0.8232  0.0000  2 Ge 2.71
Pd  0.6148  0.1148  0.5000  3 Ge 2.49-2.62

=====

8.
A relaxed structure of AcPm2Ge2Pd7, computed with GGA-PBE.

Computed properties:
**Raw total energy**: -68.1 eV for the cell shown
**Mass density**: 9.52 Mg/m³
**ΔE_f**: -742 meV per atom
**Magnetic moment**: 0.00 μB/cell

abc: 4.2074 4.2074 14.0497
angles: 96.49 96.49 89.05
Closest atoms and distances in Å follow each position.
Sites, in units of the cell vectors:
Ac  0.0000  0.0000  0.0000  12 Pd 2.95-3.10
Pm  0.1221  0.1221  0.3537  7 Pd 3.02-3.35, 4 Ge 3.21-3.33
Pm  0.8779  0.8779  0.6463  7 Pd 3.02-3.35, 4 Ge 3.21-3.33
Ge  0.4020  0.4020  0.7397  5 Pd 2.47-2.49
Ge  0.5980  0.5980  0.2603  5 Pd 2.47-2.49
Pd  0.0621  0.5609  0.1639  2 Ge 2.49
Pd  0.3490  0.3490  0.5619  1 Ge 2.47, 1 Pd 2.70
Pd  0.4391  0.9379  0.8361  2 Ge 2.49
Pd  0.5000  0.5000  0.0000  4 Ac 2.95-3.00, 8 Pd 3.09-3.10
Pd  0.5609  0.0621  0.1639  2 Ge 2.49
Pd  0.6510  0.6510  0.4381  1 Ge 2.47, 1 Pd 2.70
Pd  0.9379  0.4391  0.8361  2 Ge 2.49

=====

9.
A relaxed structure of Ac2PmGe3Pd12, computed with GGA-PBE.

Computed properties:
**Raw total energy**: -97.7 eV for the cell shown
**Mass density**: 9.98 Mg/m³
**ΔE_f**: -477 meV per atom
**Magnetic moment**: 0.00 μB/cell

abc: 7.0654 7.0654 7.0654
angles: 84.70 84.70 84.70
Closest atoms and distances in Å follow each position.
Sites, in units of the cell vectors:
Ac  0.1475  0.1475  0.1475  3 Pd 2.74
Ac  0.8525  0.8525  0.8525  3 Pd 2.74
Pm  0.5000  0.5000  0.5000  6 Pd 2.77
Ge  0.0000  0.5000  0.5000  6 Pd 2.48-2.75
Ge  0.5000  0.0000  0.5000  6 Pd 2.48-2.75
Ge  0.5000  0.5000  0.0000  6 Pd 2.48-2.75
Pd  0.1235  0.1235  0.5856  2 Pd 2.71-2.98, 2 Ge 2.75
Pd  0.1235  0.5856  0.1235  2 Pd 2.71-2.98, 2 Ge 2.75
Pd  0.1858  0.6868  0.6868  1 Ge 2.48, 1 Pd 2.71, 1 Ac 2.74, 1 Pm 2.77
Pd  0.3132  0.3132  0.8142  1 Ge 2.48, 1 Pd 2.71, 1 Ac 2.74, 1 Pm 2.77
Pd  0.3132  0.8142  0.3132  1 Ge 2.48, 1 Pd 2.71, 1 Ac 2.74, 1 Pm 2.77
Pd  0.4144  0.8765  0.8765  2 Pd 2.71-2.98, 2 Ge 2.75
Pd  0.5856  0.1235  0.1235  2 Pd 2.71-2.98, 2 Ge 2.75
Pd  0.6868  0.1858  0.6868  1 Ge 2.48, 1 Pd 2.71, 1 Ac 2.74, 1 Pm 2.77
Pd  0.6868  0.6868  0.1858  1 Ge 2.48, 1 Pd 2.71, 1 Ac 2.74, 1 Pm 2.77
Pd  0.8142  0.3132  0.3132  1 Ge 2.48, 1 Pd 2.71, 1 Ac 2.74, 1 Pm 2.77
Pd  0.8765  0.4144  0.8765  2 Pd 2.71-2.98, 2 Ge 2.75
Pd  0.8765  0.8765  0.4144  2 Pd 2.71-2.98, 2 Ge 2.75

=====

10.
A relaxed structure of AcPmGe2Pd5, computed with GGA-PBE.

Computed properties:
**Raw total energy**: -51.1 eV for the cell shown
**Mass density**: 9.88 Mg/m³
**ΔE_f**: -785 meV per atom
**Magnetic moment**: 0.00 μB/cell

abc: 4.3838 4.3838 9.1812
angles: 90.00 90.00 90.00
Closest atoms and distances in Å follow each position.
Sites, in units of the cell vectors:
Ac  0.0000  0.0000  0.0000  12 Pd 3.07-3.10
Pm  0.0000  0.0000  0.5000  8 Pd 3.28, 8 Ge 3.34
Ge  0.5000  0.5000  0.3648  1 Ge 2.48, 4 Pd 2.50
Ge  0.5000  0.5000  0.6352  1 Ge 2.48, 4 Pd 2.50
Pd  0.0000  0.5000  0.2341  2 Ge 2.50
Pd  0.0000  0.5000  0.7659  2 Ge 2.50
Pd  0.5000  0.0000  0.2341  2 Ge 2.50
Pd  0.5000  0.0000  0.7659  2 Ge 2.50
Pd  0.5000  0.5000  0.0000  8 Pd 3.07, 4 Ac 3.10, 2 Ge 3.35